# 1
The following is a DFT calculation (PBE-GGA) of a geometry-optimized LaSbOs2 structure.

Cell and atoms, written as POSCAR:
```
LaSbOs2
1.0
-1.877 1.038 9.806
-1.017 -1.894 9.805
1.087 0.315 9.974
La Os Sb
1 2 1
Direct
0.745 0.745 0.745
0.987 0.987 0.987
0.254 0.254 0.254
0.513 0.513 0.513
```

Results
E_form (uncorrected), meV per atom: 606.3
E, Ry/atom: -0.534
Calculated volume, Å³/cell: 79.9



# 2
The following is a DFT calculation (PBE-GGA) of a geometry-optimized La3PmSm2P6 structure.

Cell and atoms, written as POSCAR:
```
La3PmSm2P6
1.0
-2.667 -0.925 -6.695
-2.617 -3.924 5.527
-2.946 6.452 1.595
La Pm Sm P
3 1 2 6
Direct
0.167 0.833 0.500
0.833 0.167 0.500
0.500 0.500 0.500
0.000 0.000 0.000
0.333 0.667 0.000
0.667 0.333 0.000
0.919 0.585 0.757
0.747 0.747 0.243
0.081 0.415 0.243
0.585 0.919 0.757
0.253 0.253 0.757
0.415 0.081 0.243
```

Results
E, Ry/atom: -0.492
Calculated volume, Å³/cell: 313.4



# 3
The following is a DFT calculation (PBE-GGA) of a geometry-optimized YZrS3 structure.

Cell and atoms, written as POSCAR:
```
YZrS3
1.0
5.083 0.000 0.000
0.000 5.083 0.000
0.000 0.000 5.083
Y S Zr
1 3 1
Direct
0.000 0.000 0.000
0.000 0.500 0.000
0.000 0.000 0.500
0.500 0.000 0.000
0.500 0.500 0.500
```

Results
E_form (uncorrected), meV per atom: -488.2
E, Ry/atom: -0.439
Calculated volume, Å³/cell: 131.3



# 4
The following is a DFT calculation (PBE-GGA) of a geometry-optimized Pr3Ho8 structure.

Cell and atoms, written as POSCAR:
```
Pr3Ho8
1.0
-1.434 0.944 -3.147
-1.474 -2.489 -2.117
-29.190 4.078 12.489
Pr Ho
3 8
Direct
0.272 0.272 0.184
0.728 0.728 0.816
0.000 0.000 0.000
0.182 0.182 0.455
0.364 0.364 0.908
0.636 0.636 0.092
0.818 0.818 0.545
0.545 0.545 0.366
0.092 0.092 0.723
0.908 0.908 0.277
0.455 0.455 0.634
```

Results
E, Ry/atom: -0.339
E above lowest polymorph, meV/atom: 0
Calculated volume, Å³/cell: 355.5



# 5
The following is a DFT calculation (PBE-GGA) of a geometry-optimized Tb2NdYHo structure.

Cell and atoms, written as POSCAR:
```
Tb2NdYHo
1.0
7.224 0.000 0.000
0.000 8.428 0.000
0.000 -4.214 5.766
Tb Nd Y Ho
4 2 2 2
Direct
0.500 0.311 0.000
0.000 0.689 0.000
0.500 0.689 0.000
0.000 0.311 0.000
0.250 0.726 0.451
0.750 0.274 0.549
0.250 0.996 0.993
0.750 0.004 0.007
0.750 0.725 0.449
0.250 0.275 0.551
```

Results
E, Ry/atom: -0.339
Calculated volume, Å³/cell: 351.0



# 6
The following is a DFT calculation (PBE-GGA) of a geometry-optimized Mg14NbC structure.

Cell and atoms, written as POSCAR:
```
Mg14NbC
1.0
3.130 -5.421 0.000
3.130 5.421 0.000
0.000 0.000 9.662
Mg Nb C
14 1 1
Direct
0.010 0.505 0.000
0.992 0.496 0.500
0.495 0.990 0.000
0.504 0.008 0.500
0.495 0.505 0.000
0.504 0.496 0.500
0.154 0.846 0.265
0.154 0.846 0.735
0.154 0.308 0.265
0.154 0.308 0.735
0.692 0.846 0.265
0.692 0.846 0.735
0.667 0.333 0.242
0.667 0.333 0.758
0.000 0.000 0.000
0.000 0.000 0.500
```

Results
E, Ry/atom: -0.168
E above lowest polymorph, meV/atom: 24
Calculated volume, Å³/cell: 327.9



# 7
The following is a DFT calculation (PBE-GGA) of a geometry-optimized Zr2CoRePt structure.

Cell and atoms, written as POSCAR:
```
Zr2CoRePt
1.0
-3.566 3.311 1.373
-2.576 -3.523 1.804
2.289 0.614 4.466
Re Co Zr Pt
1 1 2 1
Direct
0.000 0.500 0.000
0.500 0.500 0.500
0.000 0.000 0.500
0.500 0.000 0.000
0.000 0.000 0.000
```

Results
E, Ry/atom: -0.540
Calculated volume, Å³/cell: 120.7



# 8
The following is a DFT calculation (PBE-GGA) of a geometry-optimized SrLiAg2F6 structure.

Cell and atoms, written as POSCAR:
```
SrLiAg2F6
1.0
5.584 0.000 -0.244
0.000 6.013 0.000
-0.300 0.000 9.073
Sr Li Ag F
2 2 4 12
Direct
0.500 0.000 0.000
0.000 0.500 0.500
0.500 0.000 0.500
0.000 0.500 0.000
0.035 0.943 0.273
0.535 0.557 0.773
0.965 0.057 0.727
0.465 0.443 0.227
0.258 0.703 0.087
0.758 0.797 0.587
0.742 0.297 0.913
0.242 0.203 0.413
0.312 0.739 0.414
0.812 0.761 0.914
0.688 0.261 0.586
0.188 0.239 0.086
0.809 0.632 0.255
0.309 0.868 0.755
0.191 0.368 0.745
0.691 0.132 0.245
```

Results
E_form (uncorrected), meV per atom: -2234.7
E, Ry/atom: -0.315
Calculated volume, Å³/cell: 304.2